1.
Cs2SbAuBr6 | OQMD | PBE | relaxed; space-group type = Fm-3m, No. 225
1.0
-6.5306 -0.8295 -4.4671
-6.3495 4.6012 1.3438
-1.9896 5.6586 -5.2263
Au Br Cs Sb
1 6 2 1
direct
0.5000 0.5000 0.5000
0.7492 0.2508 0.2508
0.2508 0.7492 0.2508
0.7492 0.7492 0.2508
0.2508 0.2508 0.7492
0.7492 0.2508 0.7492
0.2508 0.7492 0.7492
0.2500 0.2500 0.2500
0.7500 0.7500 0.7500
0.0000 0.0000 0.0000

2.
Cs2SnAuBr6 | OQMD | PBE | relaxed; space-group type = C2/m, No. 12
1.0
2.4447 5.3647 -5.3149
-3.8221 6.9218 -0.6959
4.3852 -1.4794 6.4484
Au Br Cs Sn
1 6 2 1
direct
0.5000 0.5000 0.5000
0.7484 0.2505 0.2507
0.2505 0.7484 0.2507
0.2511 0.2511 0.2520
0.7489 0.7489 0.7480
0.7495 0.2516 0.7493
0.2516 0.7495 0.7493
0.7498 0.7498 0.2500
0.2502 0.2502 0.7500
0.0000 0.0000 0.0000

3.
Cs2SnAuBr6 | OQMD | PBE | relaxed; space-group type = Fm-3m, No. 225
1.0
7.8510 -0.8882 0.8219
-0.4371 2.9585 7.3593
-4.5053 -6.2107 -2.0574
Au Br Cs Sn
1 6 2 1
direct
0.0000 0.0000 0.0000
0.7510 0.2490 0.0000
0.2491 0.2491 0.0000
0.7509 0.7509 0.0000
0.2490 0.7510 0.0000
0.2490 0.2490 0.4980
0.7510 0.7510 0.5020
0.7500 0.2500 0.5000
0.2500 0.7500 0.5000
0.5000 0.5000 0.0000

Asked for total DFT energy (no corrections) across the records above, the calculation gives -28.958 -29.392 -29.392 eV for the cell shown in order.